Below is Ca3PrPa2N6 after structural relaxation, with properties calculated at the PBE level.

extended XYZ file:
```
12
Lattice="-2.0825 0.9426 2.7743 -4.1135 -5.6782 -1.1586 6.3068 -3.2357 3.5045" Properties=species:S:1:pos:R:3 pbc="T T T"
Ca -3.0980 -2.3678 0.8079
Ca 1.7806 -2.3151 4.4520
Ca -1.6698 -5.6563 0.6683
Pr -1.0413 0.4713 1.3872
Pa -0.2712 -5.1793 3.8849
Pa 0.3820 -2.7920 1.2353
N -0.1486 -6.8528 2.2166
N -1.4795 -3.6943 2.4735
N 0.2594 -1.1186 2.9036
N -0.8980 -1.5742 -0.1392
N 1.0088 -6.3971 5.2595
N 1.5903 -4.2770 2.6468
```

Computed properties:
SG: C2/m, No. 12
Energy relative to the elements, uncorrected: -1413 meV/atom
D(E_F): 0.4016 states/eV/atom



Below is CaPrPaN3 after structural relaxation, with properties calculated at the PBE level.

extended XYZ file:
```
12
Lattice="-1.5881 3.1399 -0.8282 -0.2187 -1.9061 -6.8069 -8.2440 -2.4204 6.6314" Properties=species:S:1:pos:R:3 pbc="T T T"
Ca -5.0485 -2.1301 -2.3393
Ca -5.0022 0.9434 1.3355
Pr -8.4275 -1.1824 -0.1558
Pr -1.6232 -0.0043 -0.8480
Pa -1.7031 -0.9519 -4.2872
Pa -8.3476 -0.2348 3.2835
N -3.5404 -1.8450 -4.1503
N -2.3230 0.2724 -6.3459
N -2.0988 1.2370 -3.1186
N -6.5104 0.6583 3.1466
N -7.9519 -2.4237 2.1149
N -7.7278 -1.4590 5.3421
```

Computed properties:
SG: P2_1/m, No. 11
Energy relative to the elements, uncorrected: -1283 meV/atom
D(E_F): 0.1920 states/eV/atom



Below is CaPr2PaN4 after structural relaxation, with properties calculated at the PBE level.

extended XYZ file:
```
8
Lattice="-1.3211 0.9304 3.2456 -4.6204 -3.9954 -0.7353 4.7591 -2.9340 2.7782" Properties=species:S:1:pos:R:3 pbc="T T T"
Ca -2.9707 -1.5325 1.2551
Pr 1.7190 -1.0018 3.0119
Pr 0.0693 -3.4647 1.0214
Pa 0.0000 0.0000 0.0000
N -0.6357 -1.1030 2.0824
N -0.5467 -4.8960 3.2060
N 2.6309 -3.1551 1.9753
N -2.4922 -3.7743 0.0676
```

Computed properties:
SG: P2/m, No. 10
Energy relative to the elements, uncorrected: -1391 meV/atom
D(E_F): 0.3565 states/eV/atom



Below is Ca3Pr2PaN6 after structural relaxation, with properties calculated at the PBE level.

extended XYZ file:
```
12
Lattice="-5.8850 0.0048 -2.1766 4.8054 -0.8322 -3.9479 0.0508 -5.4451 2.8792" Properties=species:S:1:pos:R:3 pbc="T T T"
Ca 3.0861 -3.4181 -2.2193
Ca -4.1149 -2.8544 -1.0261
Ca -0.5144 -3.1362 -1.6227
Pr 1.2444 -0.5534 -3.3579
Pr -2.3239 -0.2740 -2.7667
Pa 0.0000 0.0000 0.0000
N -2.4295 -4.7088 -2.2273
N -0.8188 -1.8487 -4.0685
N 1.4007 -1.5636 -1.0181
N 0.8442 -4.9651 -2.7697
N -0.2099 -4.4238 0.8231
N -1.8730 -1.3074 -0.4757
```

Computed properties:
SG: C2/m, No. 12
Energy relative to the elements, uncorrected: -1216 meV/atom
D(E_F): 1.1879 states/eV/atom



Below is Ca3PrPa3N8 after structural relaxation, with properties calculated at the PBE level.

extended XYZ file:
```
15
Lattice="7.1732 0.0000 -0.0001 -3.5866 6.2127 -0.0216 0.0002 -4.1205 5.7160" Properties=species:S:1:pos:R:3 pbc="T T T"
Ca 0.0000 0.0000 0.0000
Ca -1.7933 3.1063 -0.0108
Ca 1.7933 3.1063 -0.0108
Pr 0.0001 -2.0602 2.8580
Pa 3.5867 -2.0602 2.8580
Pa 1.7934 1.0461 2.8472
Pa -1.7932 1.0461 2.8472
N 0.0001 2.0768 1.5348
N 3.5867 0.0154 4.1596
N 3.5867 1.9640 1.7384
N 0.0001 0.1281 3.9560
N 5.2813 -0.9714 1.7491
N -1.6945 3.0636 3.9453
N 1.8921 -0.9714 1.7492
N 1.6947 3.0636 3.9451
```

Computed properties:
SG: R-3m, No. 166
Energy relative to the elements, uncorrected: -1306 meV/atom
D(E_F): 0.0029 states/eV/atom



Below is Ca3Pa3PtN8 after structural relaxation, with properties calculated at the PBE level.

extended XYZ file:
```
15
Lattice="-6.7552 1.6548 -0.1593 3.0230 -1.3479 6.0222 1.6500 5.8010 -3.4505" Properties=species:S:1:pos:R:3 pbc="T T T"
Ca 0.0000 0.0000 0.0000
Ca 1.5115 -0.6739 3.0111
Ca -1.8661 0.1534 2.9315
Pa -2.5526 3.7279 -1.8049
Pa -1.0411 3.0540 1.2062
Pa 2.3365 2.2266 1.2859
Pt 0.8250 2.9005 -1.7253
N 0.2894 1.3179 2.1102
N -2.3715 4.7900 0.3023
N -3.0667 2.2997 2.1007
N 0.9846 3.8082 0.3117
N -4.6141 2.9897 -0.9817
N 2.5319 3.1182 3.3942
N -1.4428 2.0645 -0.7740
N -0.6393 4.0435 3.1864
```

Computed properties:
SG: C2/m, No. 12
Energy relative to the elements, uncorrected: -1071 meV/atom
D(E_F): 0.2505 states/eV/atom



Below is Ca4Pa3PtN8 after structural relaxation, with properties calculated at the PBE level.

extended XYZ file:
```
16
Lattice="6.7058 0.0000 0.0000 0.0000 6.8222 -0.0581 -3.3529 -3.4475 5.3544" Properties=species:S:1:pos:R:3 pbc="T T T"
Ca 3.3529 0.0000 0.0000
Ca 1.6765 -1.7237 2.6772
Ca 0.0000 0.0000 0.0000
Ca -1.6765 -1.7237 2.6772
Pa 3.3529 3.4111 -0.0290
Pa 1.6765 1.6874 2.6481
Pa -1.6765 1.6874 2.6481
Pt 0.0000 3.4111 -0.0290
N -1.6924 1.4987 5.0715
N 0.0000 3.1573 2.9909
N 0.0000 0.0706 2.8722
N 1.6924 1.4987 5.0715
N 1.6606 1.8760 0.2247
N 3.3529 3.3041 2.4241
N 3.3529 0.2174 2.3054
N 5.0453 1.8760 0.2247
```

Computed properties:
SG: C2/m, No. 12
Energy relative to the elements, uncorrected: -1188 meV/atom
D(E_F): 0.3785 states/eV/atom



Below is CaPaPtN3 after structural relaxation, with properties calculated at the PBE level.

extended XYZ file:
```
12
Lattice="-2.3159 -2.5358 -0.3086 4.2652 -4.2691 3.0712 -3.1974 1.9904 7.6403" Properties=species:S:1:pos:R:3 pbc="T T T"
Ca -0.5997 -0.8144 1.5617
Ca -0.6484 -4.0000 8.8413
Pa 1.6031 -3.0068 3.0453
Pa -2.8512 -1.8077 7.3577
Pt -1.5954 -0.2517 4.4100
Pt 0.3473 -4.5628 5.9930
N 1.4584 -5.2401 3.2198
N -2.7065 0.4257 7.1832
N 1.2073 -2.9376 5.4473
N -2.4554 -1.8769 4.9557
N -0.3808 -3.4054 1.9458
N -0.8673 -1.4091 8.4572
```

Computed properties:
SG: P2_1/m, No. 11
Energy relative to the elements, uncorrected: -818 meV/atom
D(E_F): 0.1643 states/eV/atom